(1)
# NbCr4Si

A relaxed NbCr4Si crystal (GGA-PBE, the Alexandria database).

Output
Raw formation energy = 0.018 eV per atom
D(E_F) = 5.353 states/eV/f.u.
Symmetry = No. 164

Lattice parameters (Å, degrees): 4.8805 4.8805 7.6315 90.00 90.00 120.00
Atoms (fractional coordinates):
1 Cr 0.8285 0.6569 0.2372
2 Cr 0.1715 0.8285 0.7628
3 Cr 0.1715 0.3431 0.7628
4 Cr 0.8285 0.1715 0.2372
5 Cr 0.6569 0.8285 0.7628
6 Cr 0.0000 0.0000 0.0000
7 Cr 0.0000 0.0000 0.5000
8 Cr 0.3431 0.1715 0.2372
9 Nb 0.6667 0.3333 0.5662
10 Nb 0.3333 0.6667 0.4338
11 Si 0.6667 0.3333 0.9302
12 Si 0.3333 0.6667 0.0698



(2)
# TbSm8Ir6

A relaxed TbSm8Ir6 crystal (GGA-PBE, the Alexandria database).

Output
Formation enthalpy at 0 K = -0.668 eV per atom
D(E_F) = 10.976 states/eV/f.u.
Symmetry = No. 148

Lattice parameters (Å, degrees): 7.8277 7.8277 7.8277 65.06 65.06 65.06
Atoms (fractional coordinates):
1 Ir 0.9436 0.6113 0.2749
2 Ir 0.7251 0.0564 0.3887
3 Ir 0.6113 0.2749 0.9436
4 Ir 0.2749 0.9436 0.6113
5 Ir 0.0564 0.3887 0.7251
6 Ir 0.3887 0.7251 0.0564
7 Sm 0.6673 0.6673 0.6673
8 Sm 0.5576 0.8868 0.2199
9 Sm 0.4424 0.1132 0.7801
10 Sm 0.3327 0.3327 0.3327
11 Sm 0.2199 0.5576 0.8868
12 Sm 0.8868 0.2199 0.5576
13 Sm 0.1132 0.7801 0.4424
14 Sm 0.7801 0.4424 0.1132
15 Tb 0.0000 0.0000 0.0000



(3)
# Na4Tl3AuO8

A relaxed Na4Tl3AuO8 crystal (GGA-PBE, the Alexandria database).

Output
Raw formation energy = -0.972 eV per atom
Symmetry = No. 12

Lattice parameters (Å, degrees): 6.6006 6.6412 7.0164 118.80 118.06 90.00
Atoms (fractional coordinates):
1 O 0.2325 0.2936 0.0180
2 O 0.2145 0.7064 0.9820
3 O 0.7328 0.7260 0.4656
4 O 0.2826 0.7533 0.5651
5 O 0.7855 0.2936 0.0180
6 O 0.7174 0.2467 0.4349
7 O 0.2672 0.2740 0.5344
8 O 0.7675 0.7064 0.9820
9 Tl 0.0000 0.5000 0.5000
10 Tl 0.5000 0.5000 0.0000
11 Tl 0.5000 0.5000 0.5000
12 Na 0.5000 0.0000 0.5000
13 Na 0.5000 0.0000 0.0000
14 Na 0.0000 0.0000 0.0000
15 Na 0.0000 0.0000 0.5000
16 Au 0.0000 0.5000 0.0000



(4)
# MnCuSi2

A relaxed MnCuSi2 crystal (GGA-PBE, the Alexandria database).

Output
Raw formation energy = 0.351 eV per atom
D(E_F) = 2.445 states/eV/f.u.
Symmetry = No. 122

Lattice parameters (Å, degrees): 6.6939 6.6939 5.3935 51.64 51.64 90.00
Site moments in Bohr magnetons follow the coordinates.
Atoms (fractional coordinates):
1 Cu 0.0000 0.0000 0.0000  0.03
2 Cu 0.7500 0.2500 0.5000  0.03
3 Si 0.6430 0.1250 0.2500  -0.03
4 Si 0.3750 0.3570 0.7500  -0.03
5 Si 0.8750 0.8930 0.7500  -0.03
6 Si 0.1070 0.6250 0.2500  -0.03
7 Mn 0.5000 0.5000 0.0000  3.12
8 Mn 0.2500 0.7500 0.5000  3.12



(5)
# Ca4PmDy3Te8

A relaxed Ca4PmDy3Te8 crystal (GGA-PBE, the Alexandria database).

Output
Raw formation energy = -1.466 eV per atom
D(E_F) = 6.093 states/eV/f.u.
Symmetry = No. 166

Lattice parameters (Å, degrees): 8.8081 8.9446 8.8091 119.50 120.00 90.00
Atoms (fractional coordinates):
1 Ca 0.0000 0.0000 0.5000
2 Ca 0.5000 0.0000 0.0000
3 Ca 0.0000 0.0000 0.0000
4 Ca 0.5000 0.0000 0.5000
5 Te 0.7484 0.2523 0.0038
6 Te 0.2516 0.7477 0.9962
7 Te 0.2517 0.7477 0.5033
8 Te 0.7483 0.2523 0.4967
9 Te 0.2519 0.2556 0.5038
10 Te 0.7446 0.7477 0.9962
11 Te 0.2554 0.2523 0.0038
12 Te 0.7481 0.7444 0.4962
13 Dy 0.5000 0.5000 0.5000
14 Dy 0.5000 0.5000 0.0000
15 Dy 0.0000 0.5000 0.5000
16 Pm 0.0000 0.5000 0.0000



(6)
# In2CoTc

A relaxed In2CoTc crystal (GGA-PBE, the Alexandria database).

Output
Formation enthalpy at 0 K = 0.678 eV per atom
D(E_F) = 4.368 states/eV/f.u.
Symmetry = No. 122

Lattice parameters (Å, degrees): 7.2366 7.2366 5.8386 51.70 51.70 90.00
Site moments in Bohr magnetons follow the coordinates.
Atoms (fractional coordinates):
1 In 0.8750 0.8508 0.7500  -0.05
2 In 0.3750 0.3992 0.7500  -0.05
3 In 0.6008 0.1250 0.2500  -0.06
4 In 0.1492 0.6250 0.2500  -0.06
5 Co 0.5000 0.5000 0.0000  1.18
6 Co 0.2500 0.7500 0.5000  1.18
7 Tc 0.0000 0.0000 0.0000  1.28
8 Tc 0.7500 0.2500 0.5000  1.28



(7)
# RbHgI2

A relaxed RbHgI2 crystal (GGA-PBE, the Alexandria database).

Output
Raw formation energy = -0.662 eV per atom
D(E_F) = 3.741 states/eV/f.u.
Symmetry = No. 166

Lattice parameters (Å, degrees): 5.7037 5.7037 10.0291 73.48 73.48 60.00
Site moments in Bohr magnetons follow the coordinates.
Atoms (fractional coordinates):
1 I 0.8949 0.8949 0.3152  0.14
2 I 0.1051 0.1051 0.6848  0.14
3 Hg 0.0000 0.0000 0.0000  0.17
4 Rb 0.5000 0.5000 0.5000  0.00



(8)
# K3TbTm3Se8

A relaxed K3TbTm3Se8 crystal (GGA-PBE, the Alexandria database).

Output
Raw formation energy = -1.674 eV per atom
D(E_F) = 7.912 states/eV/f.u.
Symmetry = No. 166

Lattice parameters (Å, degrees): 8.2204 8.2247 9.1752 116.66 90.00 119.97
Atoms (fractional coordinates):
1 Tb 0.0000 0.0000 0.5000
2 K 0.0000 0.0000 0.0000
3 K 0.0000 0.5000 0.0000
4 K 0.5000 0.5000 0.0000
5 Se 0.7633 0.0345 0.2979
6 Se 0.2367 0.9655 0.7021
7 Se 0.7342 0.4684 0.7025
8 Se 0.2658 0.5316 0.2975
9 Se 0.7633 0.5267 0.2979
10 Se 0.2712 0.0345 0.2979
11 Se 0.7288 0.9655 0.7021
12 Se 0.2367 0.4733 0.7021
13 Tm 0.0000 0.5000 0.5000
14 Tm 0.5000 0.0000 0.5000
15 Tm 0.5000 0.5000 0.5000